This record from OQMD describes a geometry-optimized Cs2LaPrO4 structure. The functional is PBE.

Unit cell a=3.7310 b=3.7310 c=13.6663 alpha=90.00 beta=90.00 gamma=120.00
Element x y z (fractional)
Cs1 0.3333 0.6667 0.2496
Cs2 0.6667 0.3333 0.7504
La1 0.0000 0.0000 0.5000
Pr1 0.0000 0.0000 0.0000
O1 0.3333 0.6667 0.5864
O2 0.3333 0.6667 0.9134
O3 0.6667 0.3333 0.0866
O4 0.6667 0.3333 0.4136

Properties
Size of the total moment, μB/f.u.: 0.01
Space-group type: No. 164
Energy, eV per atom: -6.433

=====

This record from OQMD describes a geometry-optimized YCd2 structure. The functional is PBE.

Unit cell a=4.9224 b=4.9224 c=3.4668 alpha=90.00 beta=90.00 gamma=120.00
Element x y z (fractional)
Y1 0.0000 0.0000 0.0000
Cd1 0.3333 0.6667 0.5029
Cd2 0.6667 0.3333 0.4971

Properties
DFT formation energy, eV per formula unit: -1.045
Size of the total moment, μB/f.u.: 0.14
Space-group type: No. 164

=====

This record from OQMD describes a geometry-optimized DyCdHg structure. The functional is PBE.

Unit cell a=4.8836 b=4.8836 c=4.8836 alpha=60.00 beta=60.00 gamma=60.00
Element x y z (fractional)
Dy1 0.0000 0.0000 0.0000
Cd1 0.5000 0.5000 0.5000
Hg1 0.7500 0.7500 0.7500

Properties
DFT formation energy, eV per formula unit: -0.724
Size of the total moment, μB/f.u.: 0.02
Space-group type: No. 216

=====

Question: Which of these has the highest size of the total moment?
Answer: YCd2

=====

Question: size of the total moment of number 3 (DyCdHg)?
Answer: 0.02 μB/f.u.

=====

Question: Look up the size of the total moment of the third one.
Answer: 0.02 μB/f.u.

=====

Please write out number 2 again, unchanged.
This record from OQMD describes a geometry-optimized YCd2 structure. The functional is PBE.

Unit cell a=4.9224 b=4.9224 c=3.4668 alpha=90.00 beta=90.00 gamma=120.00
Element x y z (fractional)
Y1 0.0000 0.0000 0.0000
Cd1 0.3333 0.6667 0.5029
Cd2 0.6667 0.3333 0.4971

Properties
DFT formation energy, eV per formula unit: -1.045
Size of the total moment, μB/f.u.: 0.14
Space-group type: No. 164